This record from Alexandria describes a relaxed KW2O6 crystal. The functional is PBE+U.

Cell and atoms, written as POSCAR:
```
KW2O6
1.0
4.9994 -1.9630 0.0000
4.9994 1.9630 0.0000
-2.9506 0.0000 7.5043
K W O
1 2 6
Direct
0.0000 0.0000 0.0000 K
0.1707 0.1707 0.6064 W
0.8293 0.8293 0.3936 W
0.0008 0.0008 0.6564 O
0.3043 0.3043 0.4471 O
0.3057 0.3057 0.8239 O
0.6943 0.6943 0.1761 O
0.6957 0.6957 0.5529 O
0.9992 0.9992 0.3436 O
```

Output
Raw total energy (eV/atom): -6.95
Space-group type: No. 12
Theoretical density (g/cm3): 5.7